Material: MoAsAu2
Method: DFT, SCAN
State: PBEsol geometry

Geometry as POSCAR:
```
MoAsAu2
1.0
-1.1229 -0.6556 2.9248
2.4141 -2.0490 0.4680
3.5514 4.7381 2.4255
Mo Au As
1 2 1
Direct
0.0000 0.0000 0.4731 Mo
0.0000 0.0000 0.0024 Au
0.5000 0.5000 0.7417 Au
0.5000 0.5000 0.2828 As
```

Values from the calculation:
Its formation energy is 122 meV per atom.

---

Material: YSiH2
Method: DFT, SCAN
State: PBEsol geometry

Geometry as POSCAR:
```
YSiH2
1.0
-3.7277 0.1808 -1.4879
-2.9647 -2.0699 1.7516
-2.8792 1.9376 2.0244
Y H Si
1 2 1
Direct
0.5000 0.5000 0.5000 Y
0.2500 0.2500 0.2500 H
0.7500 0.7500 0.7500 H
0.0000 0.0000 0.0000 Si
```

Values from the calculation:
As for the total energy: -11.22 eV per atom.

---

Material: CrCdCu2
Method: DFT, SCAN
State: PBEsol geometry

Geometry as POSCAR:
```
CrCdCu2
1.0
3.0428 0.0000 0.0000
0.0000 3.0421 0.0000
0.0000 0.0000 6.0403
Cd Cr Cu
1 1 2
Direct
0.5000 0.5000 0.0000 Cd
0.5000 0.5000 0.5000 Cr
0.0000 0.0000 0.7214 Cu
0.0000 0.0000 0.2786 Cu
```

Values from the calculation:
Its formation energy is 156 meV per atom.

---

Material: HgHPb2Br
Method: DFT, SCAN
State: PBEsol geometry

Geometry as POSCAR:
```
HgHPb2Br
1.0
4.6796 0.0000 0.0000
0.0000 4.6796 0.0000
0.0000 0.0000 5.2578
Pb H Hg Br
2 1 1 1
Direct
0.0000 0.5000 0.0000 Pb
0.5000 0.0000 0.0000 Pb
0.0000 0.0000 0.0000 H
0.5000 0.5000 0.5000 Hg
0.0000 0.0000 0.5000 Br
```

Values from the calculation:
As for the total energy: -48.38 eV per atom.

---

Material: Al2IrAu
Method: DFT, SCAN
State: PBEsol geometry

Geometry as POSCAR:
```
Al2IrAu
1.0
3.0449 0.0000 0.0000
0.0000 4.3873 -0.0164
-1.5224 -1.1845 4.3981
Ir Au Al
1 1 2
Direct
0.2610 0.8205 0.5220 Ir
0.4940 0.4418 0.9881 Au
0.9951 0.9378 0.9901 Al
0.7499 0.2999 0.4998 Al
```

Values from the calculation:
Its formation energy is -774 meV per atom.

---

Material: BaZrSb2
Method: DFT, SCAN
State: PBEsol geometry

Geometry as POSCAR:
```
BaZrSb2
1.0
5.4016 0.0000 0.0000
2.7008 4.6779 0.0000
2.7008 1.5593 4.4104
Ba Sb Zr
1 2 1
Direct
0.5000 0.5000 0.5000 Ba
0.2500 0.2500 0.2500 Sb
0.7500 0.7500 0.7500 Sb
0.0000 0.0000 0.0000 Zr
```

Values from the calculation:
The value obtained for the energy above the most stable polymorph in this dataset is 1.951 eV/f.u. The formation energy (no corrections) is -39.3 kJ/mol of atoms.

---

| no. | size of the total moment (μB per formula unit) |
| --- | --- |
| 1 | 0.000 |
| 2 | 0.000 |
| 3 | 3.613 |
| 4 | 0.000 |
| 5 | 0.001 |
| 6 | 0.796 |